The following is a GGA-PBE calculation of a relaxed structure of PrNd2Ni9, from Alexandria.

Computed properties:
As for the space group: R-3m (166). As for the density of states at the Fermi level: 15.06 states/eV per cell. The value obtained for the uncorrected energy is -5.83 eV per atom. The magnetization comes out at 0.672 μB per formula unit. The calculation puts the volume at 183 Å³ per cell. For the density, the calculation gives 8.71 g/cm³.

abc: 5.051 5.051 8.765
angles: 73.25 73.25 60.00
Site moments in Bohr magnetons follow the coordinates.
Fractional positions:
Pr (0.000, 0.000, 0.000)  -0.01
Nd (0.861, 0.861, 0.417)  -0.01
Nd (0.139, 0.139, 0.583)  -0.01
Ni (0.667, 0.667, 0.998)  0.12
Ni (0.333, 0.333, 0.002)  0.12
Ni (0.500, 0.500, 0.500)  0.04
Ni (0.419, 0.419, 0.243)  0.09
Ni (0.918, 0.419, 0.243)  0.09
Ni (0.419, 0.918, 0.243)  0.09
Ni (0.581, 0.581, 0.757)  0.09
Ni (0.581, 0.082, 0.757)  0.09
Ni (0.082, 0.581, 0.757)  0.09